Entry from Alexandria: crystalline GaSb2Pd5 at its relaxed geometry (PBE).

a b c (Å): 3.085 7.821 13.524
angles (deg): 90.00 90.00 101.37
Element x y z (fractional)
Ga  0.860  0.720  0.750
Ga  0.140  0.280  0.250
Sb  0.875  0.750  0.420
Sb  0.875  0.750  0.080
Sb  0.125  0.250  0.580
Sb  0.125  0.250  0.920
Pd  0.955  0.911  0.901
Pd  0.955  0.911  0.599
Pd  0.227  0.455  0.414
Pd  0.227  0.455  0.086
Pd  0.781  0.562  0.250
Pd  0.219  0.438  0.750
Pd  0.773  0.545  0.586
Pd  0.773  0.545  0.914
Pd  0.045  0.089  0.099
Pd  0.045  0.089  0.401

Electronic total energy in eV per atom: -4.92
Space-group type: Cmcm (63)
D(E_F) in states/eV per cell: 7.864
Spin magnetization in μB per formula unit: 0.0
Calculated volume in A^3/atom: 19.99
Formation energy without anion corrections in eV per atom: -0.269


Entry from Alexandria: crystalline GaSn2Sb2Pd7 at its relaxed geometry (PBE).

a b c (Å): 3.950 3.950 15.379
angles (deg): 79.66 79.66 89.44
Element x y z (fractional)
Ga  0.000  0.000  0.000
Sn  0.674  0.674  0.747
Sn  0.326  0.326  0.253
Sb  0.751  0.751  0.392
Sb  0.249  0.249  0.608
Pd  0.500  0.500  0.000
Pd  0.236  0.236  0.436
Pd  0.764  0.764  0.564
Pd  0.910  0.410  0.130
Pd  0.410  0.910  0.130
Pd  0.590  0.090  0.870
Pd  0.090  0.590  0.870

Electronic total energy in eV per atom: -4.99
Space-group type: C2/m (12)
D(E_F) in states/eV per cell: 5.795
Spin magnetization in μB per formula unit: 0.0
Calculated volume in A^3/atom: 19.34
Formation energy without anion corrections in eV per atom: -0.357


Entry from Alexandria: crystalline Sr3Ga2SbPd9 at its relaxed geometry (PBE).

a b c (Å): 6.568 6.568 9.231
angles (deg): 90.00 90.00 120.00
Element x y z (fractional)
Sr  0.333  0.667  0.687
Sr  0.000  0.000  0.000
Sr  0.667  0.333  0.313
Ga  0.333  0.667  0.170
Ga  0.667  0.333  0.830
Sb  0.000  0.000  0.500
Pd  0.857  0.143  0.723
Pd  0.857  0.714  0.723
Pd  0.286  0.143  0.723
Pd  0.714  0.857  0.277
Pd  0.143  0.286  0.277
Pd  0.143  0.857  0.277
Pd  0.500  0.000  0.000
Pd  0.000  0.500  0.000
Pd  0.500  0.500  0.000

Electronic total energy in eV per atom: -4.62
Space-group type: P-3m1 (164)
D(E_F) in states/eV per cell: 6.206
Spin magnetization in μB per formula unit: 0.0
Calculated volume in A^3/atom: 22.99
Formation energy without anion corrections in eV per atom: -0.488


Entry from Alexandria: crystalline SrGa2SbPd at its relaxed geometry (PBE).

a b c (Å): 5.691 5.935 5.691
angles (deg): 90.00 90.00 90.00
Element x y z (fractional)
Sb  0.000  0.500  0.000
Ga  0.000  0.000  0.500
Ga  0.500  0.000  0.000
Pd  0.500  0.500  0.500
Sr  0.000  0.000  0.000

Electronic total energy in eV per atom: -2.32
Space-group type: P4/mmm (123)
D(E_F) in states/eV per cell: 6.764
Spin magnetization in μB per formula unit: 0.0
Calculated volume in A^3/atom: 38.45
Formation energy without anion corrections in eV per atom: 1.093


Entry from Alexandria: crystalline Sr2GaSb3Pd4 at its relaxed geometry (PBE).

a b c (Å): 4.609 4.609 10.797
angles (deg): 90.00 90.00 90.00
Element x y z (fractional)
Sr  0.500  0.000  0.247
Sr  0.000  0.500  0.753
Ga  0.500  0.500  0.500
Sb  0.000  0.000  0.500
Sb  0.500  0.000  0.870
Sb  0.000  0.500  0.130
Pd  0.500  0.500  0.000
Pd  0.000  0.000  0.000
Pd  0.500  0.000  0.624
Pd  0.000  0.500  0.376

Electronic total energy in eV per atom: -4.73
Space-group type: P-4m2 (115)
D(E_F) in states/eV per cell: 5.290
Spin magnetization in μB per formula unit: 0.0
Calculated volume in A^3/atom: 22.93
Formation energy without anion corrections in eV per atom: -0.777


Entry from Alexandria: crystalline GaSbTe2Pd at its relaxed geometry (PBE).

a b c (Å): 5.511 5.511 5.061
angles (deg): 90.00 90.00 90.00
Element x y z (fractional)
Sb  0.000  0.000  0.500
Te  0.000  0.500  0.000
Te  0.500  0.000  0.000
Ga  0.500  0.500  0.500
Pd  0.000  0.000  0.000

Energy above the most stable polymorph in this dataset in meV/atom: 0.0
Electronic total energy in eV per atom: -3.48
Space-group type: P4/mmm (123)
D(E_F) in states/eV per cell: 4.190
Spin magnetization in μB per formula unit: 0.0
Calculated volume in A^3/atom: 30.74
Formation energy without anion corrections in eV per atom: 0.245


Entry from Alexandria: crystalline GaSbTe2Pd at its relaxed geometry (PBE).

a b c (Å): 5.356 5.356 5.166
angles (deg): 90.00 90.00 90.00
Element x y z (fractional)
Sb  0.000  0.000  0.500
Te  0.000  0.500  0.000
Te  0.500  0.000  0.000
Ga  0.000  0.000  0.000
Pd  0.500  0.500  0.500

Energy above the most stable polymorph in this dataset in meV/atom: 462.2
Electronic total energy in eV per atom: -3.02
Space-group type: P4/mmm (123)
D(E_F) in states/eV per cell: 4.809
Spin magnetization in μB per formula unit: 0.0
Calculated volume in A^3/atom: 29.64
Formation energy without anion corrections in eV per atom: 0.707


Entry from Alexandria: crystalline GaSb2Te2Pd7 at its relaxed geometry (PBE).

a b c (Å): 3.984 3.984 15.783
angles (deg): 82.80 82.80 89.98
Element x y z (fractional)
Ga  0.000  0.000  0.000
Sb  0.617  0.617  0.764
Sb  0.383  0.383  0.236
Te  0.791  0.791  0.421
Te  0.209  0.209  0.579
Pd  0.500  0.500  0.000
Pd  0.299  0.299  0.405
Pd  0.701  0.701  0.595
Pd  0.938  0.438  0.125
Pd  0.438  0.938  0.125
Pd  0.562  0.062  0.875
Pd  0.062  0.562  0.875

Electronic total energy in eV per atom: -4.89
Space-group type: C2/m (12)
D(E_F) in states/eV per cell: 5.405
Spin magnetization in μB per formula unit: 0.0
Calculated volume in A^3/atom: 20.55
Formation energy without anion corrections in eV per atom: -0.399


Entry from Alexandria: crystalline ScGa2Pd at its relaxed geometry (PBE).

a b c (Å): 5.283 6.576 8.083
angles (deg): 90.00 90.00 90.00
Element x y z (fractional)
Sc  0.374  0.250  0.039
Sc  0.874  0.750  0.461
Sc  0.626  0.750  0.961
Sc  0.126  0.250  0.539
Ga  0.876  0.048  0.195
Ga  0.376  0.952  0.305
Ga  0.124  0.548  0.805
Ga  0.624  0.452  0.695
Ga  0.124  0.952  0.805
Ga  0.624  0.048  0.695
Ga  0.876  0.452  0.195
Ga  0.376  0.548  0.305
Pd  0.632  0.250  0.420
Pd  0.132  0.750  0.080
Pd  0.368  0.750  0.580
Pd  0.868  0.250  0.920

Electronic total energy in eV per atom: -5.07
Space-group type: Pnma (62)
D(E_F) in states/eV per cell: 8.914
Spin magnetization in μB per formula unit: 0.0
Calculated volume in A^3/atom: 17.55


Entry from Alexandria: crystalline ScGaPd6 at its relaxed geometry (PBE).

a b c (Å): 5.274 5.274 5.274
angles (deg): 89.40 89.40 89.40
Element x y z (fractional)
Sc  0.000  0.000  0.000
Ga  0.500  0.500  0.500
Pd  0.173  0.550  0.173
Pd  0.173  0.173  0.550
Pd  0.827  0.450  0.827
Pd  0.450  0.827  0.827
Pd  0.827  0.827  0.450
Pd  0.550  0.173  0.173

Energy above the most stable polymorph in this dataset in meV/atom: 457.4
Electronic total energy in eV per atom: -5.26
Space-group type: R-3m (166)
D(E_F) in states/eV per cell: 3.914
Spin magnetization in μB per formula unit: 0.0
Calculated volume in A^3/atom: 18.34


Entry from Alexandria: crystalline ScGa4Pd2 at its relaxed geometry (PBE).

a b c (Å): 4.237 6.625 17.009
angles (deg): 90.00 90.00 90.00
Element x y z (fractional)
Sc  0.750  0.990  0.643
Sc  0.250  0.010  0.357
Sc  0.250  0.490  0.857
Sc  0.750  0.510  0.143
Ga  0.250  0.271  0.689
Ga  0.750  0.729  0.311
Ga  0.750  0.771  0.811
Ga  0.250  0.229  0.189
Ga  0.250  0.690  0.686
Ga  0.750  0.310  0.314
Ga  0.750  0.190  0.814
Ga  0.250  0.810  0.186
Ga  0.250  0.146  0.539
Ga  0.750  0.854  0.461
Ga  0.750  0.646  0.961
Ga  0.250  0.354  0.039
Ga  0.250  0.478  0.433
Ga  0.750  0.522  0.567
Ga  0.750  0.978  0.067
Ga  0.250  0.022  0.933
Pd  0.250  0.757  0.537
Pd  0.750  0.243  0.463
Pd  0.750  0.257  0.963
Pd  0.250  0.743  0.037
Pd  0.250  0.977  0.785
Pd  0.750  0.023  0.215
Pd  0.750  0.477  0.715
Pd  0.250  0.523  0.285

Energy above the most stable polymorph in this dataset in meV/atom: 0.0
Electronic total energy in eV per atom: -4.73
Space-group type: Pnma (62)
D(E_F) in states/eV per cell: 12.973
Spin magnetization in μB per formula unit: 0.0
Calculated volume in A^3/atom: 17.05


Entry from Alexandria: crystalline Sc3Ga12Pd at its relaxed geometry (PBE).

a b c (Å): 4.089 4.089 16.445
angles (deg): 90.00 90.00 90.00
Element x y z (fractional)
Sc  0.000  0.000  0.246
Sc  0.000  0.000  0.500
Sc  0.000  0.000  0.754
Ga  0.500  0.500  0.000
Ga  0.500  0.500  0.250
Ga  0.500  0.500  0.500
Ga  0.500  0.500  0.750
Ga  0.500  0.000  0.117
Ga  0.500  0.000  0.373
Ga  0.500  0.000  0.627
Ga  0.500  0.000  0.883
Ga  0.000  0.500  0.117
Ga  0.000  0.500  0.373
Ga  0.000  0.500  0.627
Ga  0.000  0.500  0.883
Pd  0.000  0.000  0.000

Electronic total energy in eV per atom: -4.20
Space-group type: P4/mmm (123)
D(E_F) in states/eV per cell: 6.366
Spin magnetization in μB per formula unit: 0.0
Calculated volume in A^3/atom: 17.18


What is the calculated volume in the third record? 22.99 A^3/atom